# 1
Tb6YCo3: optimized geometry, PBE-GGA.

Unit cell a=8.4018 b=8.4018 c=7.2437 alpha=90.00 beta=90.00 gamma=93.49
Closest atoms and distances in Å follow each position.
Fractional positions:
1 Tb 0.9995 0.4994 0.0000  2 Co 2.77-2.79
2 Tb 0.0005 0.5006 0.5000  2 Co 2.77-2.79
3 Tb 0.0038 0.9962 0.5000  4 Co 2.78-2.80
4 Tb 0.2858 0.2874 0.7515  1 Co 2.65
5 Tb 0.2874 0.2858 0.2515  1 Co 2.65
6 Tb 0.3323 0.6677 0.2518  4 Co 2.68-2.74
7 Tb 0.4994 0.9995 0.5000  2 Co 2.77-2.79
8 Tb 0.5006 0.0005 0.0000  2 Co 2.77-2.79
9 Tb 0.6677 0.3323 0.7518  4 Co 2.68-2.74
10 Tb 0.7126 0.7142 0.7515  1 Co 2.65
11 Tb 0.7142 0.7126 0.2515  1 Co 2.65
12 Tb 0.9962 0.0038 0.0000  4 Co 2.78-2.80
13 Y 0.3118 0.6882 0.7525  2 Co 2.93
14 Y 0.6882 0.3118 0.2525  2 Co 2.93
15 Co 0.0295 0.7511 0.2465  1 Co 2.53, 6 Tb 2.65-2.80
16 Co 0.2489 0.9705 0.2465  1 Co 2.53, 6 Tb 2.65-2.80
17 Co 0.4994 0.5006 0.5021  6 Tb 2.73-3.05, 2 Y 2.93
18 Co 0.5006 0.4994 0.0021  6 Tb 2.73-3.05, 2 Y 2.93
19 Co 0.7511 0.0295 0.7465  1 Co 2.53, 6 Tb 2.65-2.80
20 Co 0.9705 0.2489 0.7465  1 Co 2.53, 6 Tb 2.65-2.80

Output
volume = 25.5 A^3/atom
energy of formation from the pure elements = -36 meV per atom
total energy = -0.2055 hartree per atom
space group = Cmc2_1, No. 36
spin magnetization = 0.00 μB per cell
density of states at the Fermi level = 20.7 states/eV per cell

# 2
Tb3Y3Co4: optimized geometry, PBE-GGA.

Unit cell a=4.2127 b=7.2046 c=7.2046 alpha=89.96 beta=90.00 gamma=90.00
Closest atoms and distances in Å follow each position.
Fractional positions:
1 Tb 0.0000 0.0000 0.0000  6 Co 2.96-3.06
2 Tb 0.5000 0.3277 0.8278  4 Co 2.91-2.92
3 Tb 0.5000 0.8278 0.3277  4 Co 2.91-2.92
4 Y 0.0000 0.1551 0.5005  6 Co 2.97-3.05
5 Y 0.0000 0.5005 0.1551  6 Co 2.97-3.05
6 Y 0.0000 0.6547 0.6547  6 Co 2.97-3.05
7 Co 0.5000 0.2172 0.2172  1 Co 2.26
8 Co 0.5000 0.4384 0.4384  1 Co 2.26
9 Co 0.5000 0.7178 0.9388  1 Co 2.25
10 Co 0.5000 0.9388 0.7178  1 Co 2.25

Output
volume = 21.9 A^3/atom
energy of formation from the pure elements = -130 meV per atom
total energy = -0.2315 hartree per atom
space group = Amm2, No. 38
spin magnetization = 0.00 μB per cell
density of states at the Fermi level = 6.3 states/eV per cell

# 3
TbYCo: optimized geometry, PBE-GGA.

Unit cell a=3.8726 b=3.8726 c=6.2371 alpha=90.00 beta=90.00 gamma=120.00
Closest atoms and distances in Å follow each position.
Fractional positions:
1 Tb 0.0000 0.0000 0.0000  3 Co 2.66
2 Y 0.3333 0.6667 0.4648  3 Co 2.67
3 Co 0.6667 0.3333 0.2301  3 Tb 2.66, 3 Y 2.67

Output
volume = 27.0 A^3/atom
E above lowest polymorph = 0.080 eV per atom
energy of formation from the pure elements = -39 meV per atom
total energy = -0.2244 hartree per atom
space group = P3m1, No. 156
spin magnetization = 0.00 μB per cell
density of states at the Fermi level = 2.8 states/eV per cell

# 4
Tb2YCo: optimized geometry, PBE-GGA.

Unit cell a=3.4275 b=3.4275 c=8.8463 alpha=90.00 beta=90.00 gamma=90.00
Closest atoms and distances in Å follow each position.
Fractional positions:
1 Tb 0.0000 0.0000 0.1835  4 Co 2.92, 1 Tb 3.25
2 Tb 0.0000 0.0000 0.8165  4 Co 2.92, 1 Tb 3.25
3 Y 0.5000 0.5000 0.5000  4 Y 3.43, 8 Tb 3.70
4 Co 0.5000 0.5000 0.0000  8 Tb 2.92

Output
volume = 26.0 A^3/atom
E above lowest polymorph = 0.118 eV per atom
energy of formation from the pure elements = -31 meV per atom
total energy = -0.2109 hartree per atom
space group = P4/mmm, No. 123
spin magnetization = 1.13 μB per cell
density of states at the Fermi level = 4.9 states/eV per cell

# 5
Tb2YCo2: optimized geometry, PBE-GGA.

Unit cell a=11.2662 b=3.7528 c=5.5083 alpha=90.00 beta=103.71 gamma=90.00
Closest atoms and distances in Å follow each position.
Fractional positions:
1 Tb 0.1479 0.0000 0.0824  4 Co 2.75-2.93
2 Tb 0.3521 0.5000 0.9176  4 Co 2.75-2.93
3 Tb 0.6479 0.5000 0.0824  4 Co 2.75-2.93
4 Tb 0.8521 0.0000 0.9176  4 Co 2.75-2.93
5 Y 0.0000 0.5000 0.5000  6 Co 3.04-3.35
6 Y 0.5000 0.0000 0.5000  6 Co 3.04-3.35
7 Co 0.2187 0.0000 0.6029  2 Co 2.38
8 Co 0.2813 0.5000 0.3971  2 Co 2.38
9 Co 0.7187 0.5000 0.6029  2 Co 2.38
10 Co 0.7813 0.0000 0.3971  2 Co 2.38

Output
volume = 22.6 A^3/atom
E above lowest polymorph = 0.089 eV per atom
energy of formation from the pure elements = -59 meV per atom
total energy = -0.2222 hartree per atom
space group = C2/m, No. 12
spin magnetization = 0.00 μB per cell
density of states at the Fermi level = 8.7 states/eV per cell

# 6
TbYCo: optimized geometry, PBE-GGA.

Unit cell a=3.3827 b=3.3827 c=12.6929 alpha=90.00 beta=90.00 gamma=90.00
Closest atoms and distances in Å follow each position.
Fractional positions:
1 Tb 0.0000 0.0000 0.0000  4 Co 2.89
2 Tb 0.5000 0.5000 0.5000  4 Co 2.89
3 Y 0.0000 0.0000 0.2562  4 Co 2.90
4 Y 0.5000 0.5000 0.7562  4 Co 2.90
5 Co 0.0000 0.0000 0.6273  4 Tb 2.89, 4 Y 2.90
6 Co 0.5000 0.5000 0.1273  4 Tb 2.89, 4 Y 2.90

Output
volume = 24.2 A^3/atom
E above lowest polymorph = 0.021 eV per atom
energy of formation from the pure elements = -99 meV per atom
total energy = -0.2266 hartree per atom
space group = I4mm, No. 107
spin magnetization = 1.41 μB per cell
density of states at the Fermi level = 4.2 states/eV per cell

# 7
Tb2YCo2: optimized geometry, PBE-GGA.

Unit cell a=6.2012 b=6.2012 c=7.3008 alpha=100.64 beta=100.64 gamma=56.05
Closest atoms and distances in Å follow each position.
Fractional positions:
1 Tb 0.0473 0.2738 0.1508  4 Co 2.75-3.01
2 Tb 0.2738 0.0473 0.6508  4 Co 2.75-3.01
3 Tb 0.7262 0.9527 0.3492  4 Co 2.75-3.01
4 Tb 0.9527 0.7262 0.8492  4 Co 2.75-3.01
5 Y 0.4143 0.5857 0.2500  4 Co 2.72-2.79
6 Y 0.5857 0.4143 0.7500  4 Co 2.72-2.79
7 Co 0.1916 0.4707 0.4844  1 Co 2.24
8 Co 0.4707 0.1916 0.9844  1 Co 2.24
9 Co 0.5293 0.8084 0.0156  1 Co 2.24
10 Co 0.8084 0.5293 0.5156  1 Co 2.24

Output
volume = 22.8 A^3/atom
E above lowest polymorph = 0.000 eV per atom
energy of formation from the pure elements = -148 meV per atom
total energy = -0.2255 hartree per atom
space group = C2/c, No. 15
spin magnetization = 0.00 μB per cell
density of states at the Fermi level = 8.0 states/eV per cell

# 8
TbYCo: optimized geometry, PBE-GGA.

Unit cell a=6.6535 b=6.6535 c=6.6535 alpha=90.00 beta=90.00 gamma=90.00
Closest atoms and distances in Å follow each position.
Fractional positions:
1 Tb 0.0000 0.0000 0.0000  4 Co 2.88
2 Tb 0.0000 0.5000 0.5000  4 Co 2.88
3 Tb 0.5000 0.0000 0.5000  4 Co 2.88
4 Tb 0.5000 0.5000 0.0000  4 Co 2.88
5 Y 0.0000 0.0000 0.5000  4 Co 2.88
6 Y 0.0000 0.5000 0.0000  4 Co 2.88
7 Y 0.5000 0.0000 0.0000  4 Co 2.88
8 Y 0.5000 0.5000 0.5000  4 Co 2.88
9 Co 0.2500 0.2500 0.7500  4 Tb 2.88, 4 Y 2.88
10 Co 0.2500 0.7500 0.2500  4 Tb 2.88, 4 Y 2.88
11 Co 0.7500 0.2500 0.2500  4 Tb 2.88, 4 Y 2.88
12 Co 0.7500 0.7500 0.7500  4 Tb 2.88, 4 Y 2.88

Output
volume = 24.5 A^3/atom
E above lowest polymorph = 0.088 eV per atom
energy of formation from the pure elements = -32 meV per atom
total energy = -0.2241 hartree per atom
space group = F-43m, No. 216
spin magnetization = 0.00 μB per cell
density of states at the Fermi level = 13.2 states/eV per cell

# 9
TbYZnCo: optimized geometry, PBE-GGA.

Unit cell a=6.9175 b=6.9175 c=6.9175 alpha=90.00 beta=90.00 gamma=90.00
Closest atoms and distances in Å follow each position.
Fractional positions:
1 Tb 0.0000 0.0000 0.0000  4 Co 3.00, 4 Zn 3.00
2 Tb 0.0000 0.5000 0.5000  4 Co 3.00, 4 Zn 3.00
3 Tb 0.5000 0.0000 0.5000  4 Co 3.00, 4 Zn 3.00
4 Tb 0.5000 0.5000 0.0000  4 Co 3.00, 4 Zn 3.00
5 Y 0.0000 0.0000 0.5000  4 Zn 3.00, 4 Co 3.00
6 Y 0.0000 0.5000 0.0000  4 Co 3.00, 4 Zn 3.00
7 Y 0.5000 0.0000 0.0000  4 Co 3.00, 4 Zn 3.00
8 Y 0.5000 0.5000 0.5000  4 Co 3.00, 4 Zn 3.00
9 Zn 0.2500 0.2500 0.2500  4 Tb 3.00, 4 Y 3.00
10 Zn 0.2500 0.7500 0.7500  4 Tb 3.00, 4 Y 3.00
11 Zn 0.7500 0.2500 0.7500  4 Tb 3.00, 4 Y 3.00
12 Zn 0.7500 0.7500 0.2500  4 Tb 3.00, 4 Y 3.00
13 Co 0.2500 0.2500 0.7500  4 Tb 3.00, 4 Y 3.00
14 Co 0.2500 0.7500 0.2500  4 Tb 3.00, 4 Y 3.00
15 Co 0.7500 0.2500 0.2500  4 Tb 3.00, 4 Y 3.00
16 Co 0.7500 0.7500 0.7500  4 Tb 3.00, 4 Y 3.00

Output
volume = 20.7 A^3/atom
E above lowest polymorph = 0.016 eV per atom
energy of formation from the pure elements = -220 meV per atom
total energy = -0.1870 hartree per atom
space group = F-43m, No. 216
spin magnetization = 0.00 μB per cell
density of states at the Fermi level = 11.5 states/eV per cell

# 10
TbYZnCo: optimized geometry, PBE-GGA.

Unit cell a=4.2285 b=3.8581 c=10.6583 alpha=90.00 beta=90.00 gamma=90.00
Closest atoms and distances in Å follow each position.
Fractional positions:
1 Tb 0.0000 0.0000 0.0000  3 Zn 2.93-3.13, 4 Co 2.97
2 Tb 0.0000 0.5000 0.5000  3 Zn 2.93-3.13, 4 Co 2.97
3 Y 0.5000 0.0000 0.2807  3 Co 2.92-3.13, 4 Zn 2.97
4 Y 0.5000 0.5000 0.7807  3 Co 2.92-3.13, 4 Zn 2.97
5 Zn 0.0000 0.0000 0.7065  2 Co 2.54
6 Zn 0.0000 0.5000 0.2065  2 Co 2.54
7 Co 0.5000 0.0000 0.5747  2 Zn 2.54
8 Co 0.5000 0.5000 0.0747  2 Zn 2.54

Output
volume = 21.7 A^3/atom
E above lowest polymorph = 0.000 eV per atom
energy of formation from the pure elements = -236 meV per atom
total energy = -0.1876 hartree per atom
space group = Amm2, No. 38
spin magnetization = 0.00 μB per cell
density of states at the Fermi level = 7.0 states/eV per cell